Entry 1:
NaSn5Br12 | PBE-GGA | relaxed

Summary:
- Formation energy from raw total energies: -77.8 kJ/mol of atoms

a b c (Å): 7.5117 13.0750 13.8887
angles (deg): 90.00 90.19 90.00
Last column: nearest neighbours and their distance in Å.
Space group C2/m (No. 12)
Inequivalent atoms, fractional coordinates:
Na 0.0000 0.0000 0.0000 [2 per cell]  6 Br 3.04
Sn 0.0000 0.1666 0.5000 [4 per cell]  6 Br 3.02-3.03
Sn 0.0000 0.3332 0.0000 [4 per cell]  6 Br 2.92-2.93
Sn 0.0000 0.5000 0.5000 [2 per cell]  6 Br 3.03
Br 0.1535 0.5000 0.1131 [4 per cell]  2 Sn 2.92, 1 Na 3.04
Br 0.1650 0.0000 0.3782 [4 per cell]  3 Sn 3.03
Br 0.1652 0.3332 0.3786 [8 per cell]  3 Sn 3.02-3.03
Br 0.1728 0.1723 0.1133 [8 per cell]  2 Sn 2.92-2.93, 1 Na 3.04

=====

Entry 2:
La3B2SbPt9 | PBE-GGA | relaxed

Summary:
- Formation energy from raw total energies: -77.4 kJ/mol of atoms

a b c (Å): 5.8794 5.8794 9.6004
angles (deg): 90.00 90.00 120.00
Last column: nearest neighbours and their distance in Å.
Space group P-3m1 (No. 164)
Inequivalent atoms, fractional coordinates:
La 0.0000 0.0000 0.0000 [1 per cell]  12 Pt 2.94-3.19
La 0.3333 0.6667 0.6222 [2 per cell]  6 Pt 3.09
B 0.3333 0.6667 0.1432 [2 per cell]  6 Pt 2.13-2.18
Sb 0.0000 0.0000 0.5000 [1 per cell]  6 Pt 2.72
Pt 0.0000 0.5000 0.0000 [3 per cell]  2 B 2.18
Pt 0.1689 0.3378 0.2799 [6 per cell]  1 B 2.13

=====

Entry 3:
Li5ZnPd3 | PBE-GGA | relaxed

Summary:
- Total energy: -115.1 eV per cell

a b c (Å): 9.1686 9.2388 8.2767
angles (deg): 90.00 107.67 90.00
Last column: nearest neighbours and their distance in Å.
Space group C2/m (No. 12)
Inequivalent atoms, fractional coordinates:
Li 0.0000 0.2377 0.0000 [4 per cell]  3 Pd 2.42-2.60
Li 0.0614 0.2400 0.6800 [8 per cell]  3 Pd 2.48-2.68
Li 0.2453 0.0000 0.4159 [4 per cell]  4 Pd 2.55-2.67, 1 Zn 2.76, 1 Li 2.77
Li 0.2459 0.5000 0.9160 [4 per cell]  4 Pd 2.54-2.69, 1 Zn 2.75, 1 Li 2.77
Zn 0.2455 0.5000 0.2479 [4 per cell]  4 Pd 2.51-2.62, 4 Li 2.75-2.79
Pd 0.0000 0.0000 0.5000 [2 per cell]  6 Li 2.55-2.64, 2 Zn 2.62, 2 Pd 2.76
Pd 0.0000 0.5000 0.0000 [2 per cell]  4 Li 2.42-2.55, 2 Zn 2.54
Pd 0.0072 0.5000 0.3380 [4 per cell]  5 Li 2.48-2.67, 1 Zn 2.51, 1 Pd 2.72
Pd 0.0093 0.0000 0.8362 [4 per cell]  7 Li 2.54-2.69, 1 Zn 2.55, 2 Pd 2.76-2.77

=====

Entry 4:
Np2BeAlAu6 | PBE-GGA | relaxed

Summary:
- Total energy: -54.4 eV per cell

a b c (Å): 5.0333 6.1535 6.4880
angles (deg): 77.04 77.38 79.82
Last column: nearest neighbours and their distance in Å.
Space group P-1 (No. 2)
Inequivalent atoms, fractional coordinates:
Np 0.2463 0.4286 0.0850 [2 per cell]  2 Np 2.76-2.85, 3 Au 3.08-3.09
Be 0.5000 0.5000 0.5000 [1 per cell]  4 Au 2.37-2.38
Al 0.0000 0.0000 0.0000 [1 per cell]  6 Au 2.59-2.81
Au 0.1274 0.2877 0.5989 [2 per cell]  1 Be 2.37
Au 0.2653 0.7982 0.6755 [2 per cell]  1 Be 2.38
Au 0.3954 0.8821 0.2151 [2 per cell]  1 Al 2.59, 1 Be 2.69, 2 Au 2.85-2.86

=====

Entry 5:
ReHg2Mo | PBE-GGA | relaxed

Summary:
- Total energy: -78.9 eV per cell

a b c (Å): 6.5507 6.5507 6.5507
angles (deg): 90.00 90.00 90.00
Last column: nearest neighbours and their distance in Å.
Space group Fm-3m (No. 225)
Inequivalent atoms, fractional coordinates:
Re 0.0000 0.0000 0.0000 [4 per cell]  8 Hg 2.84
Hg 0.2500 0.2500 0.2500 [8 per cell]  4 Re 2.84, 4 Mo 2.84
Mo 0.0000 0.0000 0.5000 [4 per cell]  8 Hg 2.84

=====

Entry 6:
Bi2PdPb | PBE-GGA | relaxed

Summary:
- Total energy: -17.3 eV per cell

a b c (Å): 3.4126 3.4126 9.2151
angles (deg): 90.00 90.00 90.00
Last column: nearest neighbours and their distance in Å.
Space group P4/mmm (No. 123)
Inequivalent atoms, fractional coordinates:
Bi 0.0000 0.0000 0.1962 [2 per cell]  4 Pd 3.01
Pd 0.5000 0.5000 0.0000 [1 per cell]  8 Bi 3.01
Pb 0.5000 0.5000 0.5000 [1 per cell]  4 Pb 3.41, 8 Bi 3.70

=====

| no. | D(E_F) (states/eV/atom) |
| --- | --- |
| 1 | 0.980 |
| 2 | 0.170 |
| 3 | 0.361 |
| 4 | 1.134 |
| 5 | 0.801 |
| 6 | 0.431 |